# 1
## ZrTi2ZnH (GGA-PBE)

Data for an optimized crystal structure of ZrTi2ZnH.

Properties
- ρ: 5.80 g/cm³
- ΔE to the lowest computed polymorph: 0 meV/atom
- Calculated volume: 14.5 Å³/atom

Structure (POSCAR):
```
ZrTi2ZnH
1.0
4.127 0.000 0.000
0.000 4.127 0.000
0.000 0.000 4.262
H Zn Zr Ti
1 1 1 2
direct
0.000 0.000 0.000
0.500 0.500 0.500
0.000 0.000 0.500
0.000 0.500 0.000
0.500 0.000 0.000
```

# 2
## Tb2LuZr (GGA-PBE)

Data for an optimized crystal structure of Tb2LuZr.

Properties
- ρ: 8.45 g/cm³
- ΔE_f: 165 meV/atom
- ΔE to the lowest computed polymorph: 78 meV/atom
- Calculated volume: 28.7 Å³/atom

Structure (POSCAR):
```
Tb2LuZr
1.0
-2.999 1.336 2.312
-0.680 -3.744 1.281
4.576 1.001 5.356
Lu Tb Zr
1 2 1
direct
0.500 0.500 0.000
0.000 0.000 0.730
0.000 0.000 0.270
0.500 0.500 0.500
```